The following is a PBE-GGA calculation of CoAgP2S after structural relaxation, from the Alexandria database.

The structure in extended XYZ format:
```
5
Lattice="4.144 0.000 0.000 0.000 4.144 0.000 0.000 0.000 5.207" Properties=species:S:1:pos:R:3 pbc="T T T"
Co 0.000 0.000 0.000
Ag 0.000 0.000 2.604
P 0.000 2.072 0.000
P 2.072 0.000 0.000
S 2.072 2.072 2.604
```

Properties
- Magnetic moment: 0.0 μB per cell
- Raw total energy: -4.4837 eV per atom
- Volume: 89.4 Å³/f.u.
- Density of states at the Fermi level: 3.52 states/eV/cell
- Raw formation energy: 0.497 eV per atom
- SG: P4/mmm (123)